Material: TaTiGaCo2
Method: DFT, PBE
State: relaxed

Calculated values
The size of the total moment is 1.07 μB/f.u. As for the space-group type: P4/mmm (123). For the formation energy, the calculation gives 5.51 eV/f.u. The value obtained for the density is 8.0 g/cm3. The total energy comes out at -6.30 eV per atom.

Unit cell a=4.192 b=4.910 c=4.192 alpha=90.00 beta=90.00 gamma=90.00
Each line ends with the local moment (μB).
Atoms (fractional coordinates):
Ti 0.000 0.000 0.000  -0.15
Ga 0.500 0.500 0.500  0.01
Co 0.500 0.000 0.000  0.54
Co 0.000 0.000 0.500  0.54
Ta 0.000 0.500 0.000  0.11